The following is a PBE calculation of a geometry-optimized Sm2ZnSiNi6 structure, from Alexandria.

extended XYZ file:
```
10
Lattice="6.005 0.000 0.000 2.811 5.330 0.000 2.994 1.560 5.025" Properties=species:S:1:pos:R:3 pbc="T T T"
Sm 2.919 2.382 1.050
Sm 8.891 4.508 3.975
Zn 5.905 3.445 2.512
Si 0.000 0.000 0.000
Ni 4.430 5.153 1.582
Ni 6.256 5.755 3.119
Ni 5.072 1.906 4.205
Ni 6.739 4.984 0.820
Ni 5.554 1.135 1.906
Ni 7.380 1.737 3.443
```

Volume, Å³/cell: 160.8
Uncorrected formation energy, eV/atom: -0.3389
Raw total energy, eV for the cell shown: -54.21